Here is a relaxed structure of K2BaAs from the Alexandria database. Energies are from PBE.

```
data_K2BaAs
_chemical_formula_sum 'K2 Ba1 As1'
_space_group_name_H-M_alt 'P 1'
_space_group_IT_number 1
_cell_length_a 5.110
_cell_length_b 5.110
_cell_length_c 10.503
_cell_angle_alpha 103.98
_cell_angle_beta 103.98
_cell_angle_gamma 60.01
loop_
_space_group_symop_operation_xyz
'x,y,z'
loop_
_atom_site_label
_atom_site_fract_x
_atom_site_fract_y
_atom_site_fract_z
K1 0.000 0.000 0.000
K2 0.214 0.214 0.646
Ba1 0.426 0.426 0.280
As1 0.720 0.720 0.160
```

Results
* space-group type: No. 8
* ρ: 2.114 g/cm³
* crystal system: monoclinic
* E_tot: -2.619 eV per atom